(1)
The following is a PBE calculation of a geometry-optimized BaCoGe3 structure, from Alexandria.

Geometry as POSCAR:
```
BaCoGe3
1.0
4.805 0.000 0.000
0.000 4.805 0.000
0.000 0.000 4.805
Ge Co Ba
3 1 1
Direct
0.000 0.500 0.000
0.000 0.000 0.500
0.500 0.000 0.000
0.000 0.000 0.000
0.500 0.500 0.500
```

Results
calculated volume = 111 Å³ per cell
raw total energy = -4.643 eV/atom
formation energy from the elements = -0.0671 eV per atom

(2)
The following is a PBE calculation of a geometry-optimized BaCo4Ge12 structure, from Alexandria.

Geometry as POSCAR:
```
BaCo4Ge12
1.0
-2.250 7.057 -0.501
-0.569 -3.257 -6.648
-4.254 -3.612 4.897
Ba Co Ge
1 4 12
Direct
0.000 0.000 0.000
0.000 0.500 0.000
0.500 0.000 0.000
0.500 0.500 0.500
0.000 0.000 0.500
0.812 0.348 0.160
0.348 0.536 0.188
0.840 0.188 0.652
0.348 0.160 0.812
0.160 0.812 0.348
0.652 0.464 0.812
0.536 0.188 0.348
0.464 0.812 0.652
0.652 0.840 0.188
0.812 0.652 0.464
0.188 0.348 0.536
0.188 0.652 0.840
```

Results
calculated volume = 315 Å³ per cell
raw total energy = -5.112 eV/atom
formation energy from the elements = -0.0679 eV per atom

(3)
The following is a PBE calculation of a geometry-optimized Ba2CoGe2 structure, from Alexandria.

Geometry as POSCAR:
```
Ba2CoGe2
1.0
-1.400 -4.921 -4.728
4.841 2.685 -4.229
3.694 -3.177 2.213
Ge Co Ba
4 2 4
Direct
0.359 0.859 0.000
0.859 0.641 0.000
0.641 0.141 0.000
0.141 0.359 0.000
0.000 0.000 0.000
0.500 0.500 0.000
0.171 0.671 0.500
0.671 0.829 0.500
0.829 0.329 0.500
0.329 0.171 0.500
```

Results
calculated volume = 260 Å³ per cell
raw total energy = -4.071 eV/atom
formation energy from the elements = -0.0336 eV per atom

(4)
The following is a PBE calculation of a geometry-optimized BaHfCoGe2 structure, from Alexandria.

Geometry as POSCAR:
```
BaHfCoGe2
1.0
-0.219 -3.062 -3.564
-3.363 -2.908 2.705
-3.583 2.417 -1.856
Co Ge Hf Ba
1 2 1 1
Direct
0.000 0.000 0.000
0.000 0.000 0.500
0.500 0.000 0.000
0.500 0.500 0.500
0.000 0.500 0.000
```

Results
calculated volume = 115 Å³ per cell
raw total energy = -5.095 eV/atom
formation energy from the elements = 0.5488 eV per atom

(5)
The following is a PBE calculation of a geometry-optimized Ba2CoHgGe structure, from Alexandria.

Geometry as POSCAR:
```
Ba2CoHgGe
1.0
-0.578 6.328 0.482
-0.346 0.304 -4.416
-6.327 -0.612 0.454
Ge Co Hg Ba
1 1 1 2
Direct
0.000 0.000 0.000
0.000 0.500 0.000
0.500 0.500 0.500
0.000 0.000 0.500
0.500 0.000 0.000
```

Results
calculated volume = 180 Å³ per cell
raw total energy = -3.236 eV/atom
formation energy from the elements = -0.0618 eV per atom

(6)
The following is a PBE calculation of a geometry-optimized BaCoHg2Ge structure, from Alexandria.

Geometry as POSCAR:
```
BaCoHg2Ge
1.0
5.189 0.000 0.000
0.000 5.189 0.000
0.000 0.000 4.609
Ge Co Hg Ba
1 1 2 1
Direct
0.000 0.000 0.500
0.000 0.000 0.000
0.000 0.500 0.000
0.500 0.000 0.000
0.500 0.500 0.500
```

Results
calculated volume = 124 Å³ per cell
raw total energy = -3.072 eV/atom
formation energy from the elements = -0.2220 eV per atom

(7)
The following is a PBE calculation of a geometry-optimized BaInCo2Ge structure, from Alexandria.

Geometry as POSCAR:
```
BaInCo2Ge
1.0
4.680 0.000 0.000
0.000 6.005 0.000
0.000 0.000 4.680
Ge Co Ba In
1 2 1 1
Direct
0.000 0.000 0.000
0.000 0.000 0.500
0.500 0.000 0.000
0.000 0.500 0.000
0.500 0.500 0.500
```

Results
calculated volume = 131 Å³ per cell
raw total energy = -4.063 eV/atom
formation energy from the elements = 0.6354 eV per atom

(8)
The following is a PBE calculation of a geometry-optimized BaIn2CoGe structure, from Alexandria.

Geometry as POSCAR:
```
BaIn2CoGe
1.0
-1.085 4.769 -1.401
-4.944 -0.886 0.813
0.487 1.440 4.524
Ge Co Ba In
1 1 1 2
Direct
0.000 0.000 0.500
0.000 0.000 0.000
0.500 0.500 0.500
0.000 0.500 0.000
0.500 0.000 0.000
```

Results
calculated volume = 124 Å³ per cell
raw total energy = -4.003 eV/atom
formation energy from the elements = -0.1785 eV per atom

- Which of these has the lowest raw total energy?
  BaCo4Ge12